[1]
This record from the Alexandria database describes a geometry-optimized HoOsRh structure. The functional is PBE-GGA.

DFT formation energy = -0.260 eV per atom
Total magnetization = 0.0 μB per formula unit
E_tot = -71.8 eV for the cell shown
Mass density = 13.6 g cm⁻³

Cell: 4.231 6.760 6.760 Å, 120.00 90.00 90.00°
Element x y z (fractional)
Rh 0.500 0.667 0.333
Rh 0.500 0.333 0.667
Rh 0.000 0.000 0.000
Ho 0.000 0.592 0.592
Ho 0.000 0.000 0.408
Ho 0.000 0.408 0.000
Os 0.500 0.000 0.764
Os 0.500 0.764 0.000
Os 0.500 0.236 0.236

=====

[2]
This record from the Alexandria database describes a geometry-optimized Ho6Os2Rh structure. The functional is PBE-GGA.

DFT formation energy = -0.333 eV per atom
Total magnetization = 0.0 μB per formula unit
E_tot = -120.6 eV for the cell shown
Mass density = 10.9 g cm⁻³

Cell: 6.618 7.355 9.266 Å, 90.00 87.61 90.00°
Element x y z (fractional)
Ho 0.836 0.958 0.238
Ho 0.827 0.670 0.571
Ho 0.850 0.669 0.932
Ho 0.650 0.169 0.568
Ho 0.673 0.170 0.929
Ho 0.664 0.458 0.262
Ho 0.164 0.042 0.762
Ho 0.173 0.330 0.429
Ho 0.150 0.331 0.068
Ho 0.350 0.831 0.432
Ho 0.327 0.830 0.071
Ho 0.336 0.542 0.738
Os 0.965 0.370 0.731
Os 0.535 0.870 0.769
Os 0.465 0.130 0.231
Os 0.035 0.630 0.269
Rh 0.500 0.500 0.000
Rh 0.000 0.000 0.500

=====

[3]
This record from the Alexandria database describes a geometry-optimized Ho6OsRh5 structure. The functional is PBE-GGA.

DFT formation energy = -0.791 eV per atom
Total magnetization = 0.0 μB per formula unit
E_tot = -84.9 eV for the cell shown
Mass density = 11.9 g cm⁻³

Cell: 4.832 6.765 7.645 Å, 90.00 71.53 90.00°
Element x y z (fractional)
Os 0.000 0.000 0.000
Rh 0.668 0.500 0.665
Rh 0.332 0.000 0.335
Rh 0.000 0.500 0.000
Rh 0.668 0.000 0.665
Rh 0.332 0.500 0.335
Ho 0.834 0.751 0.331
Ho 0.834 0.249 0.331
Ho 0.500 0.248 0.000
Ho 0.500 0.752 0.000
Ho 0.166 0.751 0.669
Ho 0.166 0.249 0.669

=====

[4]
This record from the Alexandria database describes a geometry-optimized Ho4OsRh structure. The functional is PBE-GGA.

DFT formation energy = -0.491 eV per atom
Total magnetization = 0.0 μB per formula unit
E_tot = -79.7 eV for the cell shown
Mass density = 10.6 g cm⁻³
Energy relative to the lowest polymorph listed for this composition = 0 meV/atom

Cell: 6.267 7.521 7.837 Å, 114.33 108.56 99.78°
Element x y z (fractional)
Ho 0.005 0.240 0.873
Ho 0.793 0.697 0.650
Ho 0.368 0.634 0.873
Ho 0.357 0.953 0.650
Ho 0.643 0.047 0.350
Ho 0.632 0.366 0.127
Ho 0.207 0.303 0.350
Ho 0.995 0.760 0.127
Os 0.250 0.000 0.001
Os 0.750 0.000 0.999
Rh 0.387 0.637 0.273
Rh 0.613 0.363 0.727

=====

[5]
This record from the Alexandria database describes a geometry-optimized Ho8OsRh2 structure. The functional is PBE-GGA.

DFT formation energy = -0.426 eV per atom
Total magnetization = 0.0 μB per formula unit
E_tot = -67.2 eV for the cell shown
Mass density = 10.4 g cm⁻³
Energy relative to the lowest polymorph listed for this composition = 0 meV/atom

Cell: 4.940 6.763 8.906 Å, 106.51 106.10 90.00°
Element x y z (fractional)
Ho 0.407 0.557 0.814
Ho 0.667 0.965 0.333
Ho 0.798 0.688 0.597
Ho 0.968 0.206 0.936
Ho 0.202 0.312 0.403
Ho 0.333 0.035 0.667
Ho 0.593 0.443 0.186
Ho 0.032 0.794 0.064
Os 0.500 0.000 0.000
Rh 0.811 0.297 0.622
Rh 0.189 0.703 0.378

=====

[6]
This record from the Alexandria database describes a geometry-optimized HoScOsRh structure. The functional is PBE-GGA.

DFT formation energy = -0.608 eV per atom
Total magnetization = 0.0 μB per formula unit
E_tot = -31.9 eV for the cell shown
Mass density = 11.5 g cm⁻³
Energy relative to the lowest polymorph listed for this composition = 0 meV/atom

Cell: 3.310 3.310 6.634 Å, 90.00 90.00 90.00°
Element x y z (fractional)
Ho 0.500 0.500 0.103
Sc 0.500 0.500 0.614
Os 0.000 0.000 0.842
Rh 0.000 0.000 0.369

=====

[7]
This record from the Alexandria database describes a geometry-optimized HoScOsRh structure. The functional is PBE-GGA.

DFT formation energy = -0.579 eV per atom
Total magnetization = 0.0 μB per formula unit
E_tot = -31.8 eV for the cell shown
Mass density = 11.5 g cm⁻³
Energy relative to the lowest polymorph listed for this composition = 29 meV/atom

Cell: 4.684 4.684 4.684 Å, 60.00 60.00 60.00°
Element x y z (fractional)
Sc 0.750 0.750 0.750
Rh 0.000 0.000 0.000
Os 0.500 0.500 0.500
Ho 0.250 0.250 0.250

=====

[8]
This record from the Alexandria database describes a geometry-optimized HoSi3OsRh structure. The functional is PBE-GGA.

Total magnetization = 0.0 μB per formula unit
E_tot = -84.2 eV for the cell shown
E_form (uncorrected) = -0.442 eV/atom
Mass density = 7.8 g cm⁻³

Cell: 5.449 6.150 7.579 Å, 113.94 90.00 90.00°
Element x y z (fractional)
Ho 0.750 0.179 0.359
Ho 0.250 0.821 0.641
Si 0.250 0.232 0.464
Si 0.000 0.287 0.000
Si 0.500 0.713 0.000
Si 0.500 0.287 0.000
Si 0.000 0.713 0.000
Si 0.750 0.768 0.536
Os 0.250 0.069 0.139
Os 0.750 0.931 0.861
Rh 0.250 0.393 0.787
Rh 0.750 0.607 0.213

=====

[9]
This record from the Alexandria database describes a geometry-optimized HoSi2OsRh structure. The functional is PBE-GGA.

Total magnetization = 0.0 μB per formula unit
E_tot = -38.7 eV for the cell shown
E_form (uncorrected) = -0.943 eV/atom
Mass density = 10.3 g cm⁻³

Cell: 4.130 4.130 5.675 Å, 111.34 111.34 90.00°
Element x y z (fractional)
Ho 0.000 0.000 0.000
Si 0.626 0.626 0.252
Si 0.374 0.374 0.748
Os 0.750 0.250 0.500
Rh 0.250 0.750 0.500

=====

[10]
This record from the Alexandria database describes a geometry-optimized HoTaOsRh structure. The functional is PBE-GGA.

DFT formation energy = -0.382 eV per atom
Total magnetization = 0.0 μB per formula unit
E_tot = -36.5 eV for the cell shown
Mass density = 15.0 g cm⁻³

Cell: 4.640 4.640 4.640 Å, 60.00 60.00 60.00°
Element x y z (fractional)
Rh 0.000 0.000 0.000
Os 0.500 0.500 0.500
Ho 0.750 0.750 0.750
Ta 0.250 0.250 0.250

=====

[11]
This record from the Alexandria database describes a geometry-optimized TbHoOsRh structure. The functional is PBE-GGA.

DFT formation energy = -0.474 eV per atom
Total magnetization = 0.0 μB per formula unit
E_tot = -29.7 eV for the cell shown
Mass density = 12.9 g cm⁻³

Cell: 4.830 4.830 4.830 Å, 60.00 60.00 60.00°
Element x y z (fractional)
Tb 0.250 0.250 0.250
Os 0.500 0.500 0.500
Ho 0.750 0.750 0.750
Rh 0.000 0.000 0.000

=====

[12]
This record from the Alexandria database describes a geometry-optimized HoTiOsRh structure. The functional is PBE-GGA.

DFT formation energy = -0.518 eV per atom
Total magnetization = 0.0 μB per formula unit
E_tot = -33.1 eV for the cell shown
Mass density = 12.2 g cm⁻³

Cell: 4.597 4.597 4.597 Å, 60.00 60.00 60.00°
Element x y z (fractional)
Rh 0.000 0.000 0.000
Os 0.500 0.500 0.500
Ho 0.750 0.750 0.750
Ti 0.250 0.250 0.250

=====

[13]
This record from the Alexandria database describes a geometry-optimized HoTmOsRh structure. The functional is PBE-GGA.

DFT formation energy = -0.546 eV per atom
Total magnetization = 0.0 μB per formula unit
E_tot = -29.8 eV for the cell shown
Mass density = 13.4 g cm⁻³

Cell: 4.786 4.786 4.786 Å, 60.00 60.00 60.00°
Element x y z (fractional)
Rh 0.000 0.000 0.000
Tm 0.250 0.250 0.250
Os 0.500 0.500 0.500
Ho 0.750 0.750 0.750

=====

[14]
This record from the Alexandria database describes a geometry-optimized Ho8Os2Ru structure. The functional is PBE-GGA.

DFT formation energy = -0.201 eV per atom
Total magnetization = 0.0 μB per formula unit
E_tot = -70.6 eV for the cell shown
Mass density = 10.6 g cm⁻³
Energy relative to the lowest polymorph listed for this composition = 53 meV/atom

Cell: 5.720 7.549 7.549 Å, 113.14 100.65 100.65°
Element x y z (fractional)
Ho 0.598 0.337 0.079
Ho 0.598 0.079 0.337
Ho 0.192 0.362 0.362
Ho 0.999 0.215 0.790
Ho 0.999 0.790 0.215
Ho 0.807 0.645 0.645
Ho 0.399 0.927 0.669
Ho 0.399 0.669 0.927
Os 0.500 0.694 0.313
Os 0.500 0.313 0.694
Ru 0.008 0.004 0.004

=====

[15]
This record from the Alexandria database describes a geometry-optimized Ho8Os2Ru structure. The functional is PBE-GGA.

DFT formation energy = -0.253 eV per atom
Total magnetization = 0.0 μB per formula unit
E_tot = -71.1 eV for the cell shown
Mass density = 11.0 g cm⁻³
Energy relative to the lowest polymorph listed for this composition = 0 meV/atom

Cell: 4.731 6.912 9.020 Å, 106.61 105.20 90.00°
Element x y z (fractional)
Ho 0.402 0.537 0.805
Ho 0.668 0.963 0.336
Ho 0.795 0.687 0.590
Ho 0.970 0.206 0.941
Ho 0.205 0.313 0.410
Ho 0.332 0.037 0.664
Ho 0.598 0.463 0.195
Ho 0.030 0.794 0.059
Os 0.816 0.301 0.631
Os 0.184 0.699 0.369
Ru 0.500 0.000 0.000

=====

[16]
This record from the Alexandria database describes a geometry-optimized Ho2Os3Ru structure. The functional is PBE-GGA.

DFT formation energy = -0.303 eV per atom
Total magnetization = 0.0 μB per formula unit
E_tot = -53.9 eV for the cell shown
Mass density = 15.4 g cm⁻³

Cell: 5.285 5.285 5.400 Å, 89.95 119.35 120.01°
Element x y z (fractional)
Ho 0.752 0.376 0.128
Ho 0.248 0.624 0.872
Os 0.500 0.500 0.500
Os 0.000 0.000 0.500
Os 0.500 0.000 0.500
Ru 0.000 0.000 0.000

=====

[17]
This record from the Alexandria database describes a geometry-optimized Ho8OsRu2 structure. The functional is PBE-GGA.

DFT formation energy = -0.271 eV per atom
Total magnetization = 0.0 μB per formula unit
E_tot = -69.4 eV for the cell shown
Mass density = 10.5 g cm⁻³
Energy relative to the lowest polymorph listed for this composition = 0 meV/atom

Cell: 4.838 6.816 8.971 Å, 107.11 105.64 90.00°
Element x y z (fractional)
Ho 0.404 0.550 0.809
Ho 0.667 0.963 0.334
Ho 0.797 0.687 0.594
Ho 0.970 0.206 0.939
Ho 0.203 0.313 0.406
Ho 0.333 0.037 0.666
Ho 0.596 0.450 0.191
Ho 0.030 0.794 0.061
Os 0.500 0.000 0.000
Ru 0.815 0.303 0.630
Ru 0.185 0.697 0.370

=====

[18]
This record from the Alexandria database describes a geometry-optimized Ho8OsRu2 structure. The functional is PBE-GGA.

DFT formation energy = -0.210 eV per atom
Total magnetization = 0.0 μB per formula unit
E_tot = -68.7 eV for the cell shown
Mass density = 10.0 g cm⁻³
Energy relative to the lowest polymorph listed for this composition = 60 meV/atom

Cell: 5.823 7.519 7.519 Å, 113.37 100.60 100.60°
Element x y z (fractional)
Ho 0.576 0.336 0.079
Ho 0.576 0.079 0.336
Ho 0.178 0.361 0.361
Ho 0.988 0.211 0.783
Ho 0.988 0.783 0.211
Ho 0.804 0.645 0.645
Ho 0.387 0.927 0.671
Ho 0.387 0.671 0.927
Os 0.125 0.002 0.002
Ru 0.496 0.699 0.320
Ru 0.496 0.320 0.699

=====

[19]
This record from the Alexandria database describes a geometry-optimized Ho6OsRu2 structure. The functional is PBE-GGA.

DFT formation energy = -0.253 eV per atom
Total magnetization = 0.0 μB per formula unit
E_tot = -119.1 eV for the cell shown
Mass density = 10.2 g cm⁻³
Energy relative to the lowest polymorph listed for this composition = 77 meV/atom

Cell: 6.557 7.222 9.535 Å, 90.00 87.97 90.00°
Element x y z (fractional)
Ho 0.833 0.967 0.240
Ho 0.822 0.671 0.578
Ho 0.852 0.667 0.929
Ho 0.648 0.167 0.571
Ho 0.678 0.171 0.922
Ho 0.667 0.467 0.260
Ho 0.167 0.033 0.760
Ho 0.178 0.329 0.422
Ho 0.148 0.333 0.071
Ho 0.352 0.833 0.429
Ho 0.322 0.829 0.078
Ho 0.333 0.533 0.740
Os 0.500 0.500 0.000
Os 0.000 0.000 0.500
Ru 0.967 0.355 0.710
Ru 0.533 0.855 0.790
Ru 0.467 0.145 0.210
Ru 0.033 0.645 0.290

=====

[20]
This record from the Alexandria database describes a geometry-optimized Ho4OsRu structure. The functional is PBE-GGA.

DFT formation energy = -0.344 eV per atom
Total magnetization = 0.0 μB per formula unit
E_tot = -81.8 eV for the cell shown
Mass density = 10.7 g cm⁻³
Energy relative to the lowest polymorph listed for this composition = 0 meV/atom

Cell: 6.255 7.478 7.795 Å, 114.32 108.67 99.74°
Element x y z (fractional)
Ho 0.010 0.246 0.879
Ho 0.787 0.693 0.644
Ho 0.369 0.633 0.879
Ho 0.357 0.951 0.644
Ho 0.643 0.049 0.356
Ho 0.631 0.367 0.121
Ho 0.213 0.307 0.356
Ho 0.990 0.754 0.121
Os 0.384 0.634 0.269
Os 0.616 0.366 0.731
Ru 0.248 0.998 0.997
Ru 0.752 0.002 0.003

=====

Per-record density of states at the Fermi level, states/eV per atom: 1.07, 0.56, 0.37, 0.77, 0.88, 0.44, 0.63, 0.38, 0.37, 0.77, 0.71, 0.40, 0.58, 0.57, 0.87, 1.07, 0.87, 0.87, 0.56, 0.60